1.
{"formula": "TaCd2Co", "functional": "PBE", "state": "relaxed", "ef_kj_per_mol_fu": 148, "de_polymorph_ev_per_fu": 1.25, "cell": [[4.580, 0.000, 0.000], [0.029, 4.580, 0.000], [-2.304, -2.290, 3.228]], "species": ["Ta", "Co", "Cd", "Cd"], "fractional_positions": [[0.750, 0.250, 0.500], [0.500, 0.500, 0.000], [0.000, 0.000, 0.000], [0.250, 0.750, 0.500]]}

***

2.
{"formula": "GeBiPO2", "functional": "PBE", "state": "relaxed", "de_polymorph_ev_per_fu": 0.00, "raw_formation_energy_ev_per_atom": -0.441, "cell": [[3.937, 0.000, 0.000], [0.000, 3.937, 0.000], [0.000, 0.000, 4.828]], "species": ["Bi", "O", "O", "Ge", "P"], "fractional_positions": [[0.500, 0.500, 0.500], [0.500, 0.000, 0.000], [0.000, 0.500, 0.000], [0.000, 0.000, 0.000], [0.000, 0.000, 0.500]]}

***

3.
{"formula": "PrTm2Al2Ga2", "functional": "PBE", "state": "relaxed", "ef_kj_per_mol_fu": -259, "cell": [[4.414, 0.000, 0.000], [2.207, 3.823, 0.000], [2.207, 1.274, 9.762]], "species": ["Al", "Al", "Ga", "Ga", "Pr", "Tm", "Tm"], "fractional_positions": [[0.600, 0.600, 0.201], [0.400, 0.400, 0.799], [0.252, 0.252, 0.244], [0.748, 0.748, 0.756], [0.000, 0.000, 0.000], [0.870, 0.870, 0.391], [0.130, 0.130, 0.609]]}